Record 1
A plane-wave DFT calculation with GGA-PBE was carried out for crystalline Mg2ScGa2 at its relaxed geometry.

Values from the calculation:
Size of the total moment ... 0.000 μB per atom
Energy ... -16.646 eV/f.u.

```
Mg2ScGa2
1.0
7.523 0.000 0.000
0.000 7.523 0.000
0.000 0.000 3.587
Mg Sc Ga
4 2 4
direct
0.174 0.326 0.000
0.326 0.826 0.000
0.674 0.174 0.000
0.826 0.674 0.000
0.000 0.000 0.500
0.500 0.500 0.500
0.127 0.627 0.500
0.373 0.127 0.500
0.627 0.873 0.500
0.873 0.373 0.500
```



Record 2
A plane-wave DFT calculation with GGA-PBE was carried out for crystalline MgScGa at its relaxed geometry.

Values from the calculation:
Size of the total moment ... 0.000 μB per atom
Energy ... -11.915 eV/f.u.

```
MgScGa
1.0
3.796 0.000 0.000
0.000 2.302 6.851
0.000 -2.302 6.851
Mg Sc Ga
2 2 2
direct
0.000 0.000 0.000
0.500 0.173 0.173
0.500 0.505 0.505
0.500 0.822 0.822
0.000 0.344 0.344
0.000 0.660 0.660
```



Record 3
A plane-wave DFT calculation with GGA-PBE was carried out for crystalline Mg2ScGa at its relaxed geometry.

Values from the calculation:
Size of the total moment ... 0.000 μB per atom
Energy ... -12.073 eV/f.u.

```
Mg2ScGa
1.0
1.557 0.899 10.674
-1.557 0.899 10.674
0.000 -1.798 10.674
Mg Sc Ga
2 1 1
direct
0.095 0.095 0.095
0.905 0.905 0.905
0.000 0.000 0.000
0.500 0.500 0.500
```



Record 4
A plane-wave DFT calculation with GGA-PBE was carried out for crystalline MgSc2Ga3 at its relaxed geometry.

Values from the calculation:
Size of the total moment ... 0.000 μB per atom
Energy ... -25.529 eV/f.u.

```
MgSc2Ga3
1.0
7.366 -2.872 0.000
7.366 2.872 0.000
-1.591 0.000 5.486
Mg Sc Ga
2 4 6
direct
0.118 0.882 0.750
0.882 0.118 0.250
0.205 0.450 0.410
0.450 0.205 0.910
0.550 0.795 0.090
0.795 0.550 0.590
0.033 0.287 0.043
0.287 0.033 0.543
0.389 0.611 0.250
0.611 0.389 0.750
0.713 0.967 0.457
0.967 0.713 0.957
```



Record 5
A plane-wave DFT calculation with GGA-PBE was carried out for crystalline MgScGa at its relaxed geometry.

Values from the calculation:
Size of the total moment ... 0.000 μB per atom
Energy ... -11.741 eV/f.u.

```
MgScGa
1.0
0.000 3.240 3.240
3.240 0.000 3.240
3.240 3.240 0.000
Mg Sc Ga
1 1 1
direct
0.000 0.000 0.000
0.500 0.500 0.500
0.750 0.750 0.750
```



Record 6
A plane-wave DFT calculation with GGA-PBE was carried out for crystalline MgSc2Ga2 at its relaxed geometry.

Values from the calculation:
Size of the total moment ... 0.205 μB per atom
Energy ... -20.975 eV/f.u.

```
MgSc2Ga2
1.0
-2.170 2.170 5.966
2.170 -2.170 5.966
2.170 2.170 -5.966
Mg Sc Ga
1 2 2
direct
0.000 0.000 0.000
0.250 0.750 0.500
0.750 0.250 0.500
0.401 0.401 0.000
0.599 0.599 0.000
```



Record 7
A plane-wave DFT calculation with GGA-PBE was carried out for crystalline MgSc5Ga6 at its relaxed geometry.

Values from the calculation:
Size of the total moment ... 0.000 μB per atom
Energy ... -57.727 eV/f.u.

```
MgSc5Ga6
1.0
7.495 -3.356 0.000
7.495 3.356 0.000
-1.427 0.000 4.508
Mg Sc Ga
1 5 6
direct
0.000 0.000 0.000
0.158 0.158 0.657
0.330 0.330 0.331
0.500 0.500 0.000
0.670 0.670 0.669
0.842 0.842 0.343
0.085 0.581 0.834
0.258 0.742 0.500
0.419 0.915 0.166
0.581 0.085 0.834
0.742 0.258 0.500
0.915 0.419 0.166
```



Record 8
A plane-wave DFT calculation with GGA-PBE was carried out for crystalline Mg2ScGa2 at its relaxed geometry.

Values from the calculation:
Size of the total moment ... 0.101 μB per atom
Energy ... -16.399 eV/f.u.

```
Mg2ScGa2
1.0
8.032 0.000 0.000
0.000 8.032 0.000
0.000 0.000 3.046
Mg Sc Ga
4 2 4
direct
0.126 0.374 0.000
0.374 0.874 0.000
0.626 0.126 0.000
0.874 0.626 0.000
0.000 0.000 0.000
0.500 0.500 0.000
0.174 0.674 0.500
0.326 0.174 0.500
0.674 0.826 0.500
0.826 0.326 0.500
```